First-principles (GGA-PBE) data for Ba2CdPtO4 after structural relaxation, as listed in Alexandria via LeMat-Bulk.

Calculated values
ΔE_f (raw) ... -1.5667 eV per atom

Structure (POSCAR):
```
Ba2CdPtO4
1.0
6.4112 0.0000 0.0000
0.0000 6.4112 0.0000
0.0000 0.0000 6.9320
Ba Cd Pt O
4 2 2 8
direct
0.0000 0.0000 0.0000 Ba
0.0000 0.5000 0.2500 Ba
0.5000 0.0000 0.7500 Ba
0.5000 0.5000 0.5000 Ba
0.0000 0.0000 0.5000 Cd
0.5000 0.5000 0.0000 Cd
0.0000 0.5000 0.7500 Pt
0.5000 0.0000 0.2500 Pt
0.1655 0.2247 0.7122 O
0.2247 0.8345 0.2878 O
0.2753 0.6655 0.7878 O
0.3345 0.2753 0.2122 O
0.6655 0.7247 0.2122 O
0.7247 0.3345 0.7878 O
0.7753 0.1655 0.2878 O
0.8345 0.7753 0.7122 O
```



First-principles (GGA-PBE) data for NdPuGe after structural relaxation, as listed in Alexandria via LeMat-Bulk.

Calculated values
Energy above the lowest structure with this stoichiometry ... 0.0 meV per atom
Formation enthalpy at 0 K ... -0.76 eV/f.u.

Structure (POSCAR):
```
NdPuGe
1.0
7.1005 0.0000 0.0000
0.0000 7.1005 0.0000
0.0000 0.0000 7.1005
Nd Pu Ge
4 4 4
direct
0.0000 0.0000 0.0000 Nd
0.0000 0.5000 0.5000 Nd
0.5000 0.0000 0.5000 Nd
0.5000 0.5000 0.0000 Nd
0.0000 0.0000 0.5000 Pu
0.0000 0.5000 0.0000 Pu
0.5000 0.0000 0.0000 Pu
0.5000 0.5000 0.5000 Pu
0.2500 0.2500 0.2500 Ge
0.2500 0.7500 0.7500 Ge
0.7500 0.2500 0.7500 Ge
0.7500 0.7500 0.2500 Ge
```